A plane-wave DFT calculation with GGA-PBE was carried out for a geometry-optimized K2NaSr structure.

Space-group type: P4/mmm, No. 123
Energy above the lowest structure with this stoichiometry (eV/atom): 0.0554
D(E_F) (states/eV per cell): 3.29
Magnetic moment (Bohr magnetons per cell): 0.000

Cell and atoms, written as POSCAR:
```
K2NaSr
1.0
5.8535 0.0000 0.0000
0.0000 5.8535 0.0000
0.0000 0.0000 6.7273
K Na Sr
2 1 1
direct
0.0000 0.5000 0.0000
0.5000 0.0000 0.0000
0.0000 0.0000 0.5000
0.5000 0.5000 0.5000
```